DFT (PBE-GGA) results for Na2CoI after structural relaxation.

Total magnetization (μB/f.u.): 2.00
Formation energy without anion corrections (eV per atom): 0.281
DOS at the Fermi energy (states/eV/cell): 0.000
Total energy (eV/cell): -20.3
Energy relative to the lowest polymorph listed for this composition (eV/atom): 0.033
Space-group type: I-42d

Structure (POSCAR):
```
Na2CoI
1.0
-4.074 4.074 4.063
4.074 -4.074 4.063
4.074 4.074 -4.063
Na Co I
4 2 2
direct
0.118 0.125 0.493 Na
0.375 0.882 0.007 Na
0.632 0.625 0.507 Na
0.875 0.368 0.993 Na
0.000 0.000 0.000 Co
0.750 0.250 0.500 Co
0.250 0.750 0.500 I
0.500 0.500 0.000 I
```

***

DFT (PBE-GGA) results for Na3CoI after structural relaxation.

Total magnetization (μB/f.u.): 1.24
Formation energy without anion corrections (eV per atom): 0.317
DOS at the Fermi energy (states/eV/cell): 38.650
Total energy (eV/cell): -11.0
Space-group type: Pm-3m

Structure (POSCAR):
```
Na3CoI
1.0
5.555 0.000 0.000
0.000 5.555 0.000
0.000 0.000 5.555
Na Co I
3 1 1
direct
0.000 0.000 0.500 Na
0.000 0.500 0.000 Na
0.500 0.000 0.000 Na
0.000 0.000 0.000 Co
0.500 0.500 0.500 I
```

***

DFT (PBE-GGA) results for NaCoI2 after structural relaxation.

Total magnetization (μB/f.u.): 2.00
Formation energy without anion corrections (eV per atom): -0.324
DOS at the Fermi energy (states/eV/cell): 10.015
Total energy (eV/cell): -25.6
Energy relative to the lowest polymorph listed for this composition (eV/atom): 0.000
Space-group type: I-42d

Structure (POSCAR):
```
NaCoI2
1.0
-3.398 3.398 5.968
3.398 -3.398 5.968
3.398 3.398 -5.968
Na Co I
2 2 4
direct
0.000 0.000 0.000 Na
0.750 0.250 0.500 Na
0.250 0.750 0.500 Co
0.500 0.500 0.000 Co
0.187 0.625 0.062 I
0.375 0.437 0.562 I
0.563 0.125 0.938 I
0.875 0.813 0.438 I
```

***

DFT (PBE-GGA) results for NaCo2I after structural relaxation.

Total magnetization (μB/f.u.): 2.14
Formation energy without anion corrections (eV per atom): 0.820
DOS at the Fermi energy (states/eV/cell): 1.374
Total energy (eV/cell): -13.8
Energy relative to the lowest polymorph listed for this composition (eV/atom): 0.000
Space-group type: Fm-3m

Structure (POSCAR):
```
NaCo2I
1.0
0.000 3.157 3.157
3.157 0.000 3.157
3.157 3.157 0.000
Na Co I
1 2 1
direct
0.000 0.000 0.000 Na
0.250 0.250 0.250 Co
0.750 0.750 0.750 Co
0.500 0.500 0.500 I
```